Entry from OQMD: crystalline PrYBi4Au2 at its relaxed geometry (PBE-GGA).

Structure (POSCAR):
```
PrYBi4Au2
1.0
4.6523 0.0000 0.0000
0.0000 4.6523 0.0000
0.0000 0.0000 9.9718
Bi Au Y Pr
4 2 1 1
direct
0.5000 0.5000 0.8097 Bi
0.0000 0.5000 0.4933 Bi
0.5000 0.0000 0.4933 Bi
0.0000 0.0000 0.1971 Bi
0.0000 0.5000 0.0068 Au
0.5000 0.0000 0.0068 Au
0.5000 0.5000 0.2286 Y
0.0000 0.0000 0.7643 Pr
```

Calculated values
As for the total moment: 0.00 μB per formula unit. The calculation puts the total energy at -4.81 eV/atom. The volume comes out at 215.83 Å³/cell.